A plane-wave DFT calculation with PBE-GGA was carried out for a relaxed structure of BaTaH.

a = 9.685 Å, b = 4.672 Å, c = 4.672 Å
α = 119.26°, β = 104.59°, γ = 75.41°
Atoms (fractional coordinates):
Ba  0.238  0.444  0.261
Ba  0.762  0.261  0.444
Ta  0.500  0.685  0.018
Ta  0.500  0.018  0.685
H  0.348  0.905  0.298
H  0.652  0.298  0.905

**Crystal system**: monoclinic

---

A plane-wave DFT calculation with PBE-GGA was carried out for a relaxed structure of BaTaH.

a = 11.311 Å, b = 3.644 Å, c = 3.709 Å
α = 90.00°, β = 89.89°, γ = 118.82°
Atoms (fractional coordinates):
Ta  0.056  0.452  0.907
Ta  0.153  0.097  0.406
Ba  0.796  0.563  0.408
Ba  0.415  0.990  0.904
H  0.574  0.731  0.403
H  0.857  0.154  0.908

**Crystal system**: triclinic

---

A plane-wave DFT calculation with PBE-GGA was carried out for a relaxed structure of BaTaH.

a = 3.303 Å, b = 3.303 Å, c = 12.493 Å
α = 90.00°, β = 90.00°, γ = 120.00°
Atoms (fractional coordinates):
H  0.667  0.333  0.000
H  0.667  0.333  0.500
Ta  0.000  0.000  0.604
Ta  0.000  0.000  0.396
Ba  0.333  0.667  0.844
Ba  0.333  0.667  0.156

**Crystal system**: hexagonal

---

One value per record, in order, for total DFT energy (no corrections): -5.472; -5.549; -5.042 eV/atom.